Record 1
LiNdDy2Tl4 after structural relaxation, computed with PBE.

Cell: 9.4457 9.4457 9.4457 Å, 32.42 32.42 32.42°
With the nearest neighbours (Å) after each atom.
Positions (direct):
Li: 0.0000 0.0000 0.0000  8 Tl 3.22-3.25
Nd: 0.5000 0.5000 0.5000  8 Tl 3.28-3.43
Dy: 0.2550 0.2550 0.2550  7 Tl 3.14-3.25
Dy: 0.7450 0.7450 0.7450  7 Tl 3.14-3.25
Tl: 0.1212 0.1212 0.1212  1 Li 3.25, 4 Dy 3.25-3.59, 3 Nd 3.28
Tl: 0.3720 0.3720 0.3720  4 Dy 3.14-3.23, 3 Li 3.22, 1 Nd 3.43
Tl: 0.6280 0.6280 0.6280  4 Dy 3.14-3.23, 3 Li 3.22, 1 Nd 3.43
Tl: 0.8788 0.8788 0.8788  1 Li 3.25, 4 Dy 3.25-3.59, 3 Nd 3.28

Computed properties:
As for the symmetry: R-3m, No. 166.

=====

Record 2
Li2NdDy2Tl2 after structural relaxation, computed with PBE.

Cell: 9.4034 9.4034 9.4034 Å, 30.07 30.07 30.07°
With the nearest neighbours (Å) after each atom.
Positions (direct):
Li: 0.0969 0.0969 0.0969  3 Tl 2.82
Li: 0.9031 0.9031 0.9031  3 Tl 2.82
Nd: 0.5000 0.5000 0.5000  6 Li 3.39, 2 Dy 3.45, 6 Tl 3.45
Dy: 0.3719 0.3719 0.3719  4 Tl 3.17-3.53, 3 Li 3.23, 1 Nd 3.45, 3 Dy 3.50
Dy: 0.6281 0.6281 0.6281  4 Tl 3.17-3.53, 3 Li 3.23, 1 Nd 3.45, 3 Dy 3.50
Tl: 0.2406 0.2406 0.2406  3 Li 2.82
Tl: 0.7594 0.7594 0.7594  3 Li 2.82

Computed properties:
As for the symmetry: R-3m, No. 166.

=====

Record 3
LiNdDyTm after structural relaxation, computed with PBE.

Cell: 5.5065 5.5065 5.5065 Å, 60.00 60.00 60.00°
With the nearest neighbours (Å) after each atom.
Positions (direct):
Li: 0.0000 0.0000 0.0000  4 Dy 3.37, 4 Nd 3.37
Nd: 0.7500 0.7500 0.7500  4 Tm 3.37, 4 Li 3.37
Dy: 0.2500 0.2500 0.2500  4 Li 3.37, 4 Tm 3.37
Tm: 0.5000 0.5000 0.5000  4 Dy 3.37, 4 Nd 3.37

Computed properties:
As for the symmetry: F-43m, No. 216.

=====

no.,size of the total moment (Bohr magnetons per cell),Fermi-level density of states (states/eV/f.u.),energy of formation from the pure elements (eV/atom)
1,0.00,4.49,-0.33
2,0.00,5.45,-0.19
3,0.00,3.84,0.16